Material: BiPdF2
Method: DFT, GGA-PBE
State: relaxed

Properties
**Crystal system**: tetragonal
**Raw formation energy**: -1.14 eV/atom
**Energy above the lowest structure with this stoichiometry**: 0 meV/atom

Unit cell a=4.027 b=4.027 c=16.247 alpha=90.00 beta=90.00 gamma=90.00
Sites, in units of the cell vectors:
Bi 0.000 0.000 0.000
Bi 0.000 0.500 0.250
Bi 0.500 0.000 0.750
Bi 0.500 0.500 0.500
Pd 0.000 0.000 0.500
Pd 0.000 0.500 0.750
Pd 0.500 0.000 0.250
Pd 0.500 0.500 0.000
F 0.237 0.250 0.125
F 0.250 0.737 0.375
F 0.250 0.763 0.875
F 0.263 0.250 0.625
F 0.737 0.750 0.625
F 0.750 0.237 0.875
F 0.750 0.263 0.375
F 0.763 0.750 0.125